Model A:
The following is a DFT calculation (PBE) of a relaxed CaAlF3 crystal.

Magnetization in μB/f.u.: 0.00
Symmetry: Pm-3m

Cell and atoms, written as POSCAR:
```
CaAlF3
1.0
4.4645 0.0000 0.0000
0.0000 4.4645 0.0000
0.0000 0.0000 4.4645
Ca Al F
1 1 3
Direct
0.0000 0.0000 0.0000 Ca
0.5000 0.5000 0.5000 Al
0.0000 0.0000 0.5000 F
0.0000 0.5000 0.0000 F
0.5000 0.0000 0.0000 F
```

Model B:
The following is a DFT calculation (PBE) of a relaxed CaAlF3 crystal.

Magnetization in μB/f.u.: 0.00
Symmetry: Pm-3m

Cell and atoms, written as POSCAR:
```
CaAlF3
1.0
4.2778 0.0000 0.0000
0.0000 4.2778 0.0000
0.0000 0.0000 4.2778
Ca Al F
1 1 3
Direct
0.0000 0.0000 0.0000 Ca
0.5000 0.5000 0.5000 Al
0.0000 0.5000 0.5000 F
0.5000 0.0000 0.5000 F
0.5000 0.5000 0.0000 F
```

Each structure's energy above the most stable one, in eV/atom: model A 0.000; model B 0.369.

Model A:
The following is a DFT calculation (PBE) of a relaxed CaAl2H4Pb2O4F6 crystal.

Magnetization in μB/f.u.: 0.00
Symmetry: P1

Cell and atoms, written as POSCAR:
```
CaAl2H4Pb2O4F6
1.0
4.9730 0.0000 0.0000
0.5628 7.7902 0.0000
1.9972 3.7607 7.0342
Ca Al H Pb O F
1 2 4 2 4 6
Direct
0.0000 0.0000 0.0000 Ca
0.5470 0.1270 0.6568 Al
0.8597 0.1105 0.3144 Al
0.3529 0.2321 0.3541 H
0.4764 0.9395 0.2995 H
0.9368 0.3889 0.5586 H
0.9977 0.9667 0.6332 H
0.4176 0.5984 0.6488 Pb
0.5836 0.5805 0.2697 Pb
0.5275 0.2237 0.3986 O
0.6540 0.8935 0.3367 O
0.7367 0.3780 0.5715 O
0.8347 0.9958 0.5788 O
0.0937 0.3025 0.2711 F
0.1635 0.9846 0.2467 F
0.2420 0.2498 0.7303 F
0.2714 0.9275 0.7531 F
0.6070 0.0205 0.8958 F
0.8370 0.2391 0.0673 F
```

Model B:
The following is a DFT calculation (PBE) of a relaxed CaAl2H4Pb2O4F6 crystal.

Magnetization in μB/f.u.: 0.00
Symmetry: P-1

Cell and atoms, written as POSCAR:
```
CaAl2H4Pb2O4F6
1.0
4.7065 0.0000 0.0000
-0.6980 7.5639 0.0000
-0.5083 -3.1513 7.3938
Ca Al H Pb O F
1 2 4 2 4 6
Direct
0.0000 0.0000 0.0000 Ca
0.3788 0.3262 0.3496 Al
0.6212 0.6738 0.6504 Al
0.1309 0.4953 0.6452 H
0.2344 0.8389 0.5944 H
0.7656 0.1611 0.4056 H
0.8691 0.5047 0.3548 H
0.4366 0.7793 0.2568 Pb
0.5634 0.2207 0.7432 Pb
0.3122 0.4809 0.5887 O
0.4369 0.8458 0.5686 O
0.5631 0.1542 0.4314 O
0.6878 0.5191 0.4113 O
0.0491 0.1566 0.3017 F
0.1650 0.4592 0.2468 F
0.4556 0.1779 0.1148 F
0.5444 0.8221 0.8852 F
0.8350 0.5408 0.7532 F
0.9509 0.8434 0.6983 F
```

Model C:
The following is a DFT calculation (PBE) of a relaxed CaAl2H4Pb2O4F6 crystal.

Magnetization in μB/f.u.: 0.00
Symmetry: P1

Cell and atoms, written as POSCAR:
```
CaAl2H4Pb2O4F6
1.0
6.1885 0.0000 0.0000
2.4273 6.3967 0.0000
1.3927 2.8656 6.8339
Ca Al H Pb O F
1 2 4 2 4 6
Direct
0.0000 0.0000 0.0000 Ca
0.3316 0.9868 0.2581 Al
0.5880 0.9250 0.8950 Al
0.3305 0.1238 0.6238 H
0.4424 0.6352 0.1768 H
0.4900 0.2577 0.9981 H
0.5443 0.7569 0.5571 H
0.1004 0.5536 0.6667 Pb
0.8318 0.4182 0.4155 Pb
0.3277 0.1269 0.7538 O
0.3857 0.7979 0.0982 O
0.5078 0.7327 0.4478 O
0.5631 0.0946 0.0638 O
0.0663 0.8961 0.3489 F
0.1194 0.2279 0.0717 F
0.2870 0.1648 0.3868 F
0.6604 0.7345 0.7710 F
0.7942 0.0784 0.7401 F
0.8464 0.7248 0.0546 F
```

Model D:
The following is a DFT calculation (PBE) of a relaxed CaAl2H4Pb2O4F6 crystal.

Magnetization in μB/f.u.: 0.00
Symmetry: P-1

Cell and atoms, written as POSCAR:
```
CaAl2H4Pb2O4F6
1.0
5.5466 0.0000 0.0000
1.4423 6.3095 0.0000
0.6476 3.1090 6.9235
Ca Al H Pb O F
1 2 4 2 4 6
Direct
0.0000 0.0000 0.0000 Ca
0.1618 0.4724 0.8421 Al
0.8382 0.5276 0.1579 Al
0.0637 0.3029 0.4561 H
0.2946 0.5490 0.1065 H
0.7054 0.4510 0.8935 H
0.9363 0.6971 0.5439 H
0.3418 0.9045 0.3972 Pb
0.6582 0.0955 0.6028 Pb
0.0038 0.2591 0.3614 O
0.1459 0.6142 0.0211 O
0.8541 0.3858 0.9789 O
0.9962 0.7409 0.6386 O
0.1415 0.2879 0.7103 F
0.3149 0.1898 0.0284 F
0.4580 0.5355 0.7442 F
0.5420 0.4645 0.2558 F
0.6851 0.8102 0.9716 F
0.8585 0.7121 0.2897 F
```

Each structure's energy above the most stable one, in eV/atom: model A 0.035; model B 0.051; model C 0.014; model D 0.000.

Model A:
The following is a DFT calculation (PBE) of a relaxed CaAlN2F crystal.

Magnetization in μB/f.u.: 4.00
Symmetry: P4/mmm

Cell and atoms, written as POSCAR:
```
CaAlN2F
1.0
4.7551 0.0000 0.0000
0.0000 4.7551 0.0000
0.0000 0.0000 4.2729
Ca Al N F
1 1 2 1
Direct
0.0000 0.0000 0.0000 Ca
0.5000 0.5000 0.5000 Al
0.0000 0.5000 0.0000 N
0.5000 0.0000 0.0000 N
0.0000 0.0000 0.5000 F
```

Model B:
The following is a DFT calculation (PBE) of a relaxed CaAlN2F crystal.

Magnetization in μB/f.u.: 0.00
Symmetry: P4/mmm

Cell and atoms, written as POSCAR:
```
CaAlN2F
1.0
3.7349 0.0000 0.0000
0.0000 3.7349 0.0000
0.0000 0.0000 4.1161
Ca Al N F
1 1 2 1
Direct
0.0000 0.0000 0.0000 Ca
0.5000 0.5000 0.5000 Al
0.0000 0.5000 0.5000 N
0.5000 0.0000 0.5000 N
0.5000 0.5000 0.0000 F
```

Each structure's energy above the most stable one, in eV/atom: model A 1.674; model B 0.000.